(1)
An optimized crystal structure of LaRe3Se, computed with PBE.

The space group is Pm-3m (No. 221) and the conventional cell measures 4.676, 4.676 and 4.676 Å, with angles of 90.00, 90.00 and 90.00 degrees. Symmetry generates all atoms from La at (0.000, 0.000, 0.000), Re at (0.000, 0.500, 0.500) and Se at (0.500, 0.500, 0.500).

The calculation puts the size of the total moment at 0.0 μB/f.u. Its total energy is -40.22 eV/cell. Its theoretical density is 12.61 g/cm3. As for the energy above the lowest structure with this stoichiometry: 0.00 eV/f.u. The value obtained for the raw formation energy is 5.53 eV per formula unit.

=====

(2)
An optimized crystal structure of PaSnMo, computed with PBE.

The space group is P-1 (No. 2) and the conventional cell measures 4.368, 5.864 and 5.874 Å, with angles of 96.00, 104.99 and 98.47 degrees. Symmetry generates all atoms from Pa at (0.072, 0.316, 0.269), Sn at (0.401, 0.249, 0.842) and Mo at (0.230, 0.850, 0.477).

The calculation puts the size of the total moment at 0.0 μB/f.u. Its total energy is -48.25 eV/cell. Its theoretical density is 10.41 g/cm3. As for the energy above the lowest structure with this stoichiometry: 0.14 eV/f.u.

=====

(3)
An optimized crystal structure of SrMgRh3, computed with PBE.

The space group is Pm-3m (No. 221) and the conventional cell measures 4.939, 4.939 and 4.939 Å, with angles of 90.00, 90.00 and 90.00 degrees. Symmetry generates all atoms from Sr at (0.000, 0.000, 0.000), Mg at (0.500, 0.500, 0.500) and Rh at (0.000, 0.000, 0.500).

The calculation puts the size of the total moment at 0.8 μB/f.u. Its total energy is -18.20 eV/cell. Its theoretical density is 5.80 g/cm3. As for the energy above the lowest structure with this stoichiometry: 5.03 eV/f.u.

=====

(4)
An optimized crystal structure of LiTl3Os2O9, computed with PBE.

The space group is P-3m1 (No. 164) and the conventional cell measures 5.7116, 5.7116 and 7.1563 Å, with angles of 90.00, 90.00 and 120.00 degrees. Symmetry generates all atoms from Li at (0.0000, 0.0000, 0.0000), Tl at (0.0000, 0.0000, 0.5000), Tl at (0.3333, 0.6667, 0.1445), Os at (0.3333, 0.6667, 0.6624), O at (0.0000, 0.5000, 0.5000) and O at (0.1784, 0.3567, 0.8055).

The calculation puts the size of the total moment at 0.0 μB/f.u. Its total energy is -90.77 eV/cell. Its theoretical density is 9.40 g/cm3. The value obtained for the raw formation energy is -14.67 eV per formula unit.

=====

(5)
An optimized crystal structure of LiPuMgO5, computed with PBE.

The space group is C2/c (No. 15) and the conventional cell measures 6.305, 9.287 and 7.619 Å, with angles of 90.00, 112.58 and 90.00 degrees. Symmetry generates all atoms from Li at (0.000, 0.054, 0.250), Pu at (0.250, 0.250, 0.000), Mg at (0.000, 0.414, 0.250), O at (0.000, 0.363, 0.750), O at (0.001, 0.196, 0.435) and O at (0.248, 0.426, 0.144).

The calculation puts the size of the total moment at 1.0 μB/f.u. Its total energy is -243.31 eV/cell. Its theoretical density is 5.73 g/cm3. The value obtained for the raw formation energy is -18.20 eV per formula unit.

=====

(6)
An optimized crystal structure of RbV2Cr, computed with PBE.

The space group is Fm-3m (No. 225) and the conventional cell measures 6.926, 6.926 and 6.926 Å, with angles of 90.00, 90.00 and 90.00 degrees. Symmetry generates all atoms from Rb at (0.000, 0.000, 0.000), V at (0.250, 0.250, 0.250) and Cr at (0.000, 0.000, 0.500).

The calculation puts the size of the total moment at 3.1 μB/f.u. Its total energy is -88.99 eV/cell. Its theoretical density is 4.79 g/cm3. As for the energy above the lowest structure with this stoichiometry: 0.42 eV/f.u.

=====

(7)
An optimized crystal structure of LiCuGeAs2, computed with PBE.

The space group is P4/mmm (No. 123) and the conventional cell measures 4.926, 4.926 and 4.646 Å, with angles of 90.00, 90.00 and 90.00 degrees. Symmetry generates all atoms from Li at (0.000, 0.000, 0.000), Cu at (0.500, 0.500, 0.000), Ge at (0.000, 0.000, 0.500) and As at (0.000, 0.500, 0.500).

The calculation puts the size of the total moment at 0.0 μB/f.u. Its total energy is -16.48 eV/cell. Its theoretical density is 4.32 g/cm3.

=====

(8)
An optimized crystal structure of SrAcAg, computed with PBE.

The space group is Cmcm (No. 63) and the conventional cell measures 5.647, 14.025 and 5.620 Å, with angles of 90.00, 90.00 and 90.00 degrees. Symmetry generates all atoms from Sr at (0.000, 0.113, 0.250), Ac at (0.000, 0.385, 0.250) and Ag at (0.000, 0.251, 0.750).

The calculation puts the size of the total moment at 0.0 μB/f.u. Its total energy is -36.20 eV/cell. Its theoretical density is 6.30 g/cm3. As for the energy above the lowest structure with this stoichiometry: 0.06 eV/f.u.

=====

(9)
An optimized crystal structure of LuZn2Ga, computed with PBE.

The space group is Fm-3m (No. 225) and the conventional cell measures 6.628, 6.628 and 6.628 Å, with angles of 90.00, 90.00 and 90.00 degrees. Symmetry generates all atoms from Lu at (0.000, 0.000, 0.000), Zn at (0.250, 0.250, 0.250) and Ga at (0.000, 0.000, 0.500).

The calculation puts the size of the total moment at 0.0 μB/f.u. Its total energy is -44.28 eV/cell. Its theoretical density is 8.57 g/cm3.

=====

(10)
An optimized crystal structure of CaTa2Tl, computed with PBE.

The space group is P4/mmm (No. 123) and the conventional cell measures 4.172, 4.172 and 5.004 Å, with angles of 90.00, 90.00 and 90.00 degrees. Symmetry generates all atoms from Ca at (0.000, 0.000, 0.000), Ta at (0.000, 0.500, 0.500) and Tl at (0.500, 0.500, 0.000).

The calculation puts the size of the total moment at 0.0 μB/f.u. Its total energy is -25.64 eV/cell. Its theoretical density is 11.56 g/cm3. As for the energy above the lowest structure with this stoichiometry: 1.35 eV/f.u.

=====

(11)
An optimized crystal structure of Dy2Er8Tl, computed with PBE.

The space group is C2/m (No. 12) and the conventional cell measures 11.098, 4.899 and 12.498 Å, with angles of 90.00, 104.81 and 90.00 degrees. Symmetry generates all atoms from Dy at (0.186, 0.000, 0.267), Er at (0.039, 0.500, 0.821), Er at (0.091, 0.000, 0.637), Er at (0.137, 0.500, 0.453), Er at (0.238, 0.500, 0.088) and Tl at (0.000, 0.000, 0.000).

The calculation puts the size of the total moment at 0.0 μB/f.u. Its total energy is -96.81 eV/cell. Its theoretical density is 9.44 g/cm3. As for the energy above the lowest structure with this stoichiometry: 0.00 eV/f.u.

=====

(12)
An optimized crystal structure of HfRe2BrO, computed with PBE.

The space group is P4/mmm (No. 123) and the conventional cell measures 4.711, 4.711 and 3.915 Å, with angles of 90.00, 90.00 and 90.00 degrees. Symmetry generates all atoms from Hf at (0.000, 0.000, 0.000), Re at (0.000, 0.500, 0.500), Br at (0.500, 0.500, 0.500) and O at (0.500, 0.500, 0.000).

The calculation puts the size of the total moment at 0.0 μB/f.u. Its total energy is -33.55 eV/cell. Its theoretical density is 12.36 g/cm3. The value obtained for the raw formation energy is 7.93 eV per formula unit.